## PrGaOs (PBE-GGA)

Data for PrGaOs after structural relaxation.

Computed properties:
DFT total energy: -6.074 eV per atom

a b c (Å): 4.5663 4.5663 4.5663
angles (deg): 60.00 60.00 60.00
Last column: nearest neighbours and their distance in Å.
Fractional coordinates of all 3 atoms:
1 Pr 0.0000 0.0000 0.0000  4 Ga 2.80
2 Ga 0.7500 0.7500 0.7500  4 Pr 2.80, 4 Os 2.80
3 Os 0.5000 0.5000 0.5000  4 Ga 2.80